(1)
# LaCd4Re

A PBEsol-optimized structure of LaCd4Re (meta-GGA SCAN, Alexandria).

abc: 5.593 5.593 5.593
angles: 60.00 60.00 60.00
Positions (direct):
1 La 0.000 0.000 0.000
2 Cd 0.376 0.376 0.376
3 Cd 0.376 0.376 0.872
4 Cd 0.376 0.872 0.376
5 Cd 0.872 0.376 0.376
6 Re 0.750 0.750 0.750

- N(E_F): 4.71 states/eV/cell
- Formation energy: 278 meV per atom

=====

(2)
# Li3TaI

A PBEsol-optimized structure of Li3TaI (meta-GGA SCAN, Alexandria).

abc: 5.290 5.290 5.290
angles: 90.00 90.00 90.00
Positions (direct):
1 Li 0.000 0.000 0.500
2 Li 0.000 0.500 0.000
3 Li 0.500 0.000 0.000
4 Ta 0.000 0.000 0.000
5 I 0.500 0.500 0.500

- Formation energy (no corrections): 1.061 eV per atom
- N(E_F): 2.64 states/eV/cell

=====

(3)
# Ca2AsBr

A PBEsol-optimized structure of Ca2AsBr (meta-GGA SCAN, Alexandria).

abc: 7.772 7.772 7.772
angles: 151.13 150.43 41.80
Positions (direct):
1 Ca 0.000 0.000 0.000
2 Ca 0.710 0.210 0.500
3 As 0.142 0.642 0.500
4 Br 0.395 0.395 0.000

- Formation energy (no corrections): -1.489 eV per atom
- N(E_F): 0.00 states/eV/cell